# 1
# PBE-GGA Ac2Ge2S5, relaxed
# **Energy relative to the elements, uncorrected**: -1195 meV per atom
# **Total magnetic moment**: 0.0 μB/cell
# **VASP energy**: -97.69 eV for the cell shown
# **Theoretical density**: 5.0 g/cm³
data_Ac2Ge2S5
_chemical_formula_sum 'Ac4 Ge4 S10'
_space_group_name_H-M_alt 'C 1 2/m 1'
_space_group_IT_number 12
_cell_length_a 14.567
_cell_length_b 4.909
_cell_length_c 8.208
_cell_angle_alpha 90.00
_cell_angle_beta 121.53
_cell_angle_gamma 90.00
loop_
_space_group_symop_operation_xyz
'x,y,z'
'-x,-y,-z'
'-x,y,-z'
'x,-y,z'
'x+1/2,y+1/2,z'
'-x+1/2,-y+1/2,-z'
'-x+1/2,y+1/2,-z'
'x+1/2,-y+1/2,z'
loop_
_atom_site_label
_atom_site_fract_x
_atom_site_fract_y
_atom_site_fract_z
Ac1 0.111 0.000 0.273
Ge1 0.146 0.500 0.839
S1 0.000 0.500 0.000
S2 0.154 0.500 0.523
S3 0.155 0.000 0.954

# 2
# PBE-GGA ZrSi2As, relaxed
# **Energy relative to the elements, uncorrected**: -193 meV per atom
# **DOS(E_F)**: 0.58 states/eV per atom
# **Total magnetic moment**: 0.0 μB/cell
# **VASP energy**: -49.63 eV for the cell shown
# **Theoretical density**: 5.4 g/cm³
data_ZrSi2As
_chemical_formula_sum 'Zr2 Si4 As2'
_space_group_name_H-M_alt 'I m m m'
_space_group_IT_number 71
_space_group_name_Hall '-I 2 2'
_cell_length_a 3.425
_cell_length_b 4.552
_cell_length_c 8.711
_cell_angle_alpha 90.00
_cell_angle_beta 90.00
_cell_angle_gamma 90.00
loop_
_atom_site_label
_atom_site_fract_x
_atom_site_fract_y
_atom_site_fract_z
Zr1 0.000 0.000 0.000
Si1 0.000 0.500 0.234
As1 0.000 0.000 0.500

# 3
# PBE-GGA CaPd3Pt, relaxed
# **DOS(E_F)**: 1.06 states/eV per atom
# **Total magnetic moment**: 0.0 μB/cell
# **VASP energy**: -102.34 eV for the cell shown
# **ΔE_f**: -393 meV per atom
# **Theoretical density**: 9.8 g/cm³
data_CaPd3Pt
_chemical_formula_sum 'Ca4 Pd12 Pt4'
_space_group_name_H-M_alt 'C m c m'
_space_group_IT_number 63
_space_group_name_Hall '-C 2c 2'
_cell_length_a 5.494
_cell_length_b 13.102
_cell_length_c 5.221
_cell_angle_alpha 90.00
_cell_angle_beta 90.00
_cell_angle_gamma 90.00
loop_
_atom_site_label
_atom_site_fract_x
_atom_site_fract_y
_atom_site_fract_z
Ca1 0.000 0.099 0.250
Pd1 0.000 0.322 0.750
Pd2 0.244 0.348 0.250
Pt1 0.000 0.500 0.000

# 4
# PBE-GGA Ce5Tl2Pb, relaxed
# **DOS(E_F)**: 3.09 states/eV per atom
# **Total magnetic moment**: 13.0 μB/cell
# **VASP energy**: -79.22 eV for the cell shown
# **ΔE_f**: -187 meV per atom
# **Theoretical density**: 9.5 g/cm³
data_Ce5Tl2Pb
_chemical_formula_sum 'Ce10 Tl4 Pb2'
_space_group_name_H-M_alt 'I 4/m m m'
_space_group_IT_number 139
_space_group_name_Hall '-I 4 2'
_cell_length_a 8.069
_cell_length_b 8.069
_cell_length_c 7.101
_cell_angle_alpha 90.00
_cell_angle_beta 90.00
_cell_angle_gamma 90.00
loop_
_atom_site_label
_atom_site_fract_x
_atom_site_fract_y
_atom_site_fract_z
Ce1 0.000 0.000 0.000
Ce2 0.250 0.250 0.250
Tl1 0.000 0.500 0.000
Pb1 0.000 0.000 0.500

# 5
# PBE-GGA Hf4TaRu5, relaxed
# **DOS(E_F)**: 0.47 states/eV per atom
# **Total magnetic moment**: 0.0 μB/cell
# **VASP energy**: -105.18 eV for the cell shown
# **ΔE_f**: -714 meV per atom
# **Theoretical density**: 13.8 g/cm³
data_Hf4TaRu5
_chemical_formula_sum 'Hf4 Ta1 Ru5'
_space_group_name_H-M_alt 'P 4/m m m'
_space_group_IT_number 123
_space_group_name_Hall '-P 4 2'
_cell_length_a 3.231
_cell_length_b 3.231
_cell_length_c 16.103
_cell_angle_alpha 90.00
_cell_angle_beta 90.00
_cell_angle_gamma 90.00
loop_
_atom_site_label
_atom_site_fract_x
_atom_site_fract_y
_atom_site_fract_z
Hf1 0.000 0.000 0.101
Hf2 0.000 0.000 0.302
Ta1 0.000 0.000 0.500
Ru1 0.500 0.500 0.000
Ru2 0.500 0.500 0.202
Ru3 0.500 0.500 0.404

# 6
# PBE-GGA Gd2HoI, relaxed
# **Energy relative to the elements, uncorrected**: -366 meV per atom
# **DOS(E_F)**: 1.90 states/eV per atom
# **Total magnetic moment**: 44.7 μB/cell
# **VASP energy**: -107.26 eV for the cell shown
# **Theoretical density**: 7.8 g/cm³
data_Gd2HoI
_chemical_formula_sum 'Gd6 Ho3 I3'
_space_group_name_H-M_alt 'R -3 m'
_space_group_IT_number 166
_space_group_name_Hall '-R 3 2"'
_cell_length_a 3.7645
_cell_length_b 3.7645
_cell_length_c 31.5997
_cell_angle_alpha 90.00
_cell_angle_beta 90.00
_cell_angle_gamma 120.00
loop_
_atom_site_label
_atom_site_fract_x
_atom_site_fract_y
_atom_site_fract_z
Gd1 0.0000 0.0000 0.2456
Ho1 0.0000 0.0000 0.0000
I1 0.0000 0.0000 0.5000

# 7
# PBE-GGA LiLuAlPd, relaxed
# **DOS(E_F)**: 1.04 states/eV per atom
# **Total magnetic moment**: 0.0 μB/cell
# **VASP energy**: -71.39 eV for the cell shown
# **ΔE_f**: -619 meV per atom
# **Theoretical density**: 7.5 g/cm³
data_LiLuAlPd
_chemical_formula_sum 'Li4 Lu4 Al4 Pd4'
_space_group_name_H-M_alt 'F -4 3 m'
_space_group_IT_number 216
_space_group_name_Hall 'F -4 2 3'
_cell_length_a 6.537
_cell_length_b 6.537
_cell_length_c 6.537
_cell_angle_alpha 90.00
_cell_angle_beta 90.00
_cell_angle_gamma 90.00
loop_
_atom_site_label
_atom_site_fract_x
_atom_site_fract_y
_atom_site_fract_z
Li1 0.000 0.000 0.000
Lu1 0.250 0.250 0.750
Al1 0.250 0.250 0.250
Pd1 0.000 0.000 0.500

# 8
# PBE-GGA SmDyLuTl, relaxed
# **DOS(E_F)**: 1.49 states/eV per atom
# **Total magnetic moment**: 4.2 μB/cell
# **VASP energy**: -65.65 eV for the cell shown
# **ΔE_f**: -51 meV per atom
# **Theoretical density**: 9.9 g/cm³
data_SmDyLuTl
_chemical_formula_sum 'Sm4 Dy4 Lu4 Tl4'
_space_group_name_H-M_alt 'F -4 3 m'
_space_group_IT_number 216
_space_group_name_Hall 'F -4 2 3'
_cell_length_a 7.741
_cell_length_b 7.741
_cell_length_c 7.741
_cell_angle_alpha 90.00
_cell_angle_beta 90.00
_cell_angle_gamma 90.00
loop_
_atom_site_label
_atom_site_fract_x
_atom_site_fract_y
_atom_site_fract_z
Sm1 0.000 0.000 0.000
Dy1 0.000 0.000 0.500
Lu1 0.250 0.250 0.750
Tl1 0.250 0.250 0.250

# 9
# PBE-GGA Sc2ZnRh3, relaxed
# **DOS(E_F)**: 0.36 states/eV per atom
# **Total magnetic moment**: 0.0 μB/cell
# **VASP energy**: -41.30 eV for the cell shown
# **ΔE_f**: -884 meV per atom
# **Theoretical density**: 8.2 g/cm³
data_Sc2ZnRh3
_chemical_formula_sum 'Sc2 Zn1 Rh3'
_space_group_name_H-M_alt 'P -3 m 1'
_space_group_IT_number 164
_space_group_name_Hall '-P 3 2"'
_cell_length_a 4.4855
_cell_length_b 4.4855
_cell_length_c 5.3985
_cell_angle_alpha 90.00
_cell_angle_beta 90.00
_cell_angle_gamma 120.00
loop_
_atom_site_label
_atom_site_fract_x
_atom_site_fract_y
_atom_site_fract_z
Sc1 0.3333 0.6667 0.1851
Zn1 0.0000 0.0000 0.5000
Rh1 0.0000 0.0000 0.0000
Rh2 0.3333 0.6667 0.6734

# 10
# PBE-GGA PrAsAu4, relaxed
# **DOS(E_F)**: 0.25 states/eV per atom
# **Total magnetic moment**: 0.0 μB/cell
# **VASP energy**: -99.56 eV for the cell shown
# **ΔE_f**: -392 meV per atom
# **Theoretical density**: 13.1 g/cm³
data_PrAsAu4
_chemical_formula_sum 'Pr4 As4 Au16'
_space_group_name_H-M_alt 'F -4 3 m'
_space_group_IT_number 216
_space_group_name_Hall 'F -4 2 3'
_cell_length_a 7.981
_cell_length_b 7.981
_cell_length_c 7.981
_cell_angle_alpha 90.00
_cell_angle_beta 90.00
_cell_angle_gamma 90.00
loop_
_atom_site_label
_atom_site_fract_x
_atom_site_fract_y
_atom_site_fract_z
Pr1 0.000 0.000 0.000
As1 0.250 0.250 0.250
Au1 0.125 0.125 0.625

# 11
# PBE-GGA Os2SN4, relaxed
# **Energy relative to the elements, uncorrected**: 1930 meV per atom
# **DOS(E_F)**: 0.46 states/eV per atom
# **Total magnetic moment**: 0.0 μB/cell
# **VASP energy**: -92.75 eV for the cell shown
# **Theoretical density**: 9.8 g/cm³
data_Os2SN4
_chemical_formula_sum 'Os4 S2 N8'
_space_group_name_H-M_alt 'I 4/m m m'
_space_group_IT_number 139
_space_group_name_Hall '-I 4 2'
_cell_length_a 4.028
_cell_length_b 4.028
_cell_length_c 9.825
_cell_angle_alpha 90.00
_cell_angle_beta 90.00
_cell_angle_gamma 90.00
loop_
_atom_site_label
_atom_site_fract_x
_atom_site_fract_y
_atom_site_fract_z
Os1 0.000 0.000 0.131
S1 0.000 0.000 0.500
N1 0.000 0.000 0.310
N2 0.000 0.500 0.000

# 12
# PBE-GGA EuNiPb3, relaxed
# **DOS(E_F)**: 1.76 states/eV per atom
# **Total magnetic moment**: 7.2 μB/cell
# **VASP energy**: -27.61 eV for the cell shown
# **ΔE_f**: -85 meV per atom
# **Theoretical density**: 9.6 g/cm³
data_EuNiPb3
_chemical_formula_sum 'Eu1 Ni1 Pb3'
_space_group_name_H-M_alt 'P m -3 m'
_space_group_IT_number 221
_space_group_name_Hall '-P 4 2 3'
_cell_length_a 5.241
_cell_length_b 5.241
_cell_length_c 5.241
_cell_angle_alpha 90.00
_cell_angle_beta 90.00
_cell_angle_gamma 90.00
loop_
_atom_site_label
_atom_site_fract_x
_atom_site_fract_y
_atom_site_fract_z
Eu1 0.000 0.000 0.000
Ni1 0.500 0.500 0.500
Pb1 0.000 0.500 0.500